(1)
First-principles (SCAN) data for a PBEsol-optimized structure of LaRhAu2, as listed in Alexandria via LeMat-Bulk.

## Properties
Energy of formation (eV per atom): -0.4825
Magnetization (Bohr magnetons per cell): 0.000
Mass density (g cm⁻³): 13.50
Crystal system: cubic

a b c (Å): 6.789 6.789 6.789
angles (deg): 90.00 90.00 90.00
Space group F-43m (No. 216)
One atom of each set of equivalent atoms:
1 La 0.000 0.000 0.000
2 Rh 0.250 0.250 0.750
3 Au 0.000 0.000 0.500
4 Au 0.250 0.250 0.250

***

(2)
First-principles (SCAN) data for a PBEsol-optimized structure of LaZn2RhAu, as listed in Alexandria via LeMat-Bulk.

## Properties
Energy of formation (eV per atom): 1.0865
Magnetization (Bohr magnetons per cell): 0.000
Mass density (g cm⁻³): 6.58
Crystal system: tetragonal

a b c (Å): 5.527 5.527 4.703
angles (deg): 90.00 90.00 90.00
Space group P4/mmm (No. 123)
One atom of each set of equivalent atoms:
1 La 0.000 0.000 0.000
2 Zn 0.000 0.500 0.000
3 Rh 0.000 0.000 0.500
4 Au 0.500 0.500 0.500

***

(3)
First-principles (SCAN) data for a PBEsol-optimized structure of La2RuAu, as listed in Alexandria via LeMat-Bulk.

## Properties
Energy of formation (eV per atom): -0.6477
Magnetization (Bohr magnetons per cell): 0.000
Mass density (g cm⁻³): 9.83
Crystal system: orthorhombic

a b c (Å): 4.313 4.137 10.898
angles (deg): 90.00 90.00 90.00
Space group Amm2 (No. 38)
One atom of each set of equivalent atoms:
1 La 0.000 0.000 0.000
2 La 0.500 0.000 0.294
3 Ru 0.500 0.000 0.517
4 Au 0.000 0.000 0.710

***

- Which value of mass density does entry 3 give?
  9.83 g cm⁻³

***

- magnetization of number 3 (La2RuAu)?
  0.000 Bohr magnetons per cell